one.
{"formula": "AcNdSn4", "functional": "GGA-PBE", "state": "relaxed", "crystal_system": "cubic", "n_ef_per_ev_atom": 1.297, "magnetic_moment_mub_per_fu": 0.0, "density_g_cm3": 7.87, "lattice": [[0.0000, 4.4691, 4.4691], [4.4691, 0.0000, 4.4691], [4.4691, 4.4691, 0.0000]], "species": ["Ac", "Nd", "Sn", "Sn", "Sn", "Sn"], "frac_coords": [[0.0000, 0.0000, 0.0000], [0.2500, 0.2500, 0.2500], [0.1273, 0.6242, 0.6242], [0.6242, 0.1273, 0.6242], [0.6242, 0.6242, 0.1273], [0.6242, 0.6242, 0.6242]]}

two.
{"formula": "AcNdSn4", "functional": "GGA-PBE", "state": "relaxed", "crystal_system": "orthorhombic", "n_ef_per_ev_atom": 0.650, "magnetic_moment_mub_per_fu": 0.0, "density_g_cm3": 7.63, "lattice": [[2.4204, -11.3688, 0.0000], [2.4204, 11.3688, 0.0000], [0.0000, 0.0000, 6.6875]], "species": ["Ac", "Ac", "Nd", "Nd", "Sn", "Sn", "Sn", "Sn", "Sn", "Sn", "Sn", "Sn"], "frac_coords": [[0.2236, 0.7764, 0.7500], [0.7764, 0.2236, 0.2500], [0.0698, 0.9302, 0.2500], [0.9302, 0.0698, 0.7500], [0.0758, 0.9242, 0.7500], [0.3548, 0.6452, 0.0003], [0.3548, 0.6452, 0.4997], [0.5000, 0.5000, 0.0000], [0.5000, 0.5000, 0.5000], [0.6452, 0.3548, 0.9997], [0.6452, 0.3548, 0.5003], [0.9242, 0.0758, 0.2500]]}

Result of the stability comparison: one is the least stable of them.

one.
{"formula": "AcNdSnTe", "functional": "GGA-PBE", "state": "relaxed", "crystal_system": "cubic", "n_ef_per_ev_atom": 0.693, "magnetic_moment_mub_per_fu": 0.0, "density_g_cm3": 7.94, "lattice": [[8.0245, 0.0000, 0.0000], [0.0000, 8.0245, 0.0000], [0.0000, 0.0000, 8.0245]], "species": ["Ac", "Ac", "Ac", "Ac", "Nd", "Nd", "Nd", "Nd", "Sn", "Sn", "Sn", "Sn", "Te", "Te", "Te", "Te"], "frac_coords": [[0.0000, 0.0000, 0.0000], [0.0000, 0.5000, 0.5000], [0.5000, 0.0000, 0.5000], [0.5000, 0.5000, 0.0000], [0.0000, 0.0000, 0.5000], [0.0000, 0.5000, 0.0000], [0.5000, 0.0000, 0.0000], [0.5000, 0.5000, 0.5000], [0.2500, 0.2500, 0.2500], [0.2500, 0.7500, 0.7500], [0.7500, 0.2500, 0.7500], [0.7500, 0.7500, 0.2500], [0.2500, 0.2500, 0.7500], [0.2500, 0.7500, 0.2500], [0.7500, 0.2500, 0.2500], [0.7500, 0.7500, 0.7500]]}

two.
{"formula": "AcNdSnTe", "functional": "GGA-PBE", "state": "relaxed", "crystal_system": "trigonal", "n_ef_per_ev_atom": 0.370, "magnetic_moment_mub_per_fu": 0.0, "density_g_cm3": 7.10, "lattice": [[4.6679, 0.0000, 0.0000], [-2.3340, 4.0425, 0.0000], [0.0000, 0.0000, 22.9506]], "species": ["Ac", "Ac", "Ac", "Nd", "Nd", "Nd", "Sn", "Sn", "Sn", "Te", "Te", "Te"], "frac_coords": [[0.0000, 0.0000, 0.0000], [0.3333, 0.6667, 0.6667], [0.6667, 0.3333, 0.3333], [0.0000, 0.0000, 0.5074], [0.3333, 0.6667, 0.1741], [0.6667, 0.3333, 0.8408], [0.0000, 0.0000, 0.2486], [0.3333, 0.6667, 0.9153], [0.6667, 0.3333, 0.5819], [0.0000, 0.0000, 0.7584], [0.3333, 0.6667, 0.4250], [0.6667, 0.3333, 0.0917]]}

Result of the stability comparison: one is the least stable of them.

one.
{"formula": "Sr2AcNd", "functional": "GGA-PBE", "state": "relaxed", "crystal_system": "trigonal", "n_ef_per_ev_atom": 1.609, "magnetic_moment_mub_per_fu": 0.4, "density_g_cm3": 5.03, "lattice": [[3.9708, 0.0000, 0.0000], [-1.9854, 3.4388, 0.0000], [0.0000, 0.0000, 39.6486]], "species": ["Sr", "Sr", "Sr", "Sr", "Sr", "Sr", "Ac", "Ac", "Ac", "Nd", "Nd", "Nd"], "frac_coords": [[0.0000, 0.0000, 0.0000], [0.0000, 0.0000, 0.1608], [0.3333, 0.6667, 0.6667], [0.3333, 0.6667, 0.8275], [0.6667, 0.3333, 0.3333], [0.6667, 0.3333, 0.4942], [0.0000, 0.0000, 0.5801], [0.3333, 0.6667, 0.2467], [0.6667, 0.3333, 0.9134], [0.0000, 0.0000, 0.4140], [0.3333, 0.6667, 0.0806], [0.6667, 0.3333, 0.7473]]}

two.
{"formula": "Sr2AcNd", "functional": "GGA-PBE", "state": "relaxed", "crystal_system": "trigonal", "n_ef_per_ev_atom": 1.647, "magnetic_moment_mub_per_fu": 0.7, "density_g_cm3": 4.94, "lattice": [[3.8772, 0.0000, 0.0000], [-1.9386, 3.3578, 0.0000], [0.0000, 0.0000, 42.3322]], "species": ["Sr", "Sr", "Sr", "Sr", "Sr", "Sr", "Ac", "Ac", "Ac", "Nd", "Nd", "Nd"], "frac_coords": [[0.0000, 0.0000, 0.0863], [0.0000, 0.0000, 0.9137], [0.3333, 0.6667, 0.5803], [0.3333, 0.6667, 0.7530], [0.6667, 0.3333, 0.2470], [0.6667, 0.3333, 0.4197], [0.0000, 0.0000, 0.5000], [0.3333, 0.6667, 0.1667], [0.6667, 0.3333, 0.8333], [0.0000, 0.0000, 0.0000], [0.3333, 0.6667, 0.6667], [0.6667, 0.3333, 0.3333]]}

three.
{"formula": "Sr2AcNd", "functional": "GGA-PBE", "state": "relaxed", "crystal_system": "tetragonal", "n_ef_per_ev_atom": 1.517, "magnetic_moment_mub_per_fu": 0.0, "density_g_cm3": 5.04, "lattice": [[5.4688, 0.0000, 0.0000], [0.0000, 5.4688, 0.0000], [0.0000, 0.0000, 6.0203]], "species": ["Sr", "Sr", "Ac", "Nd"], "frac_coords": [[0.0000, 0.5000, 0.0000], [0.5000, 0.0000, 0.0000], [0.0000, 0.0000, 0.5000], [0.5000, 0.5000, 0.5000]]}

Result of the stability comparison: two is the least stable of them.

one.
{"formula": "SrAcNd", "functional": "GGA-PBE", "state": "relaxed", "crystal_system": "tetragonal", "n_ef_per_ev_atom": 1.246, "magnetic_moment_mub_per_fu": 0.0, "density_g_cm3": 5.80, "lattice": [[3.9563, 0.0000, 0.0000], [0.0000, 3.9563, 0.0000], [0.0000, 0.0000, 16.7964]], "species": ["Sr", "Sr", "Ac", "Ac", "Nd", "Nd"], "frac_coords": [[0.0000, 0.0000, 0.0000], [0.5000, 0.5000, 0.5000], [0.0000, 0.0000, 0.3161], [0.5000, 0.5000, 0.8161], [0.0000, 0.0000, 0.6702], [0.5000, 0.5000, 0.1702]]}

two.
{"formula": "SrAcNd", "functional": "GGA-PBE", "state": "relaxed", "crystal_system": "trigonal", "n_ef_per_ev_atom": 1.305, "magnetic_moment_mub_per_fu": 0.0, "density_g_cm3": 5.80, "lattice": [[3.9480, 0.0000, 0.0000], [-1.9740, 3.4191, 0.0000], [0.0000, 0.0000, 9.7258]], "species": ["Sr", "Ac", "Nd"], "frac_coords": [[0.0000, 0.0000, 0.0000], [0.6667, 0.3333, 0.3602], [0.3333, 0.6667, 0.6635]]}

Result of the stability comparison: two is the least stable of them.

one.
{"formula": "SrAc4Nd", "functional": "GGA-PBE", "state": "relaxed", "crystal_system": "tetragonal", "n_ef_per_ev_atom": 1.785, "magnetic_moment_mub_per_fu": 0.0, "density_g_cm3": 7.08, "lattice": [[3.9885, 0.0000, 0.0000], [0.0000, 3.9885, 0.0000], [0.0000, 0.0000, 16.7985]], "species": ["Sr", "Ac", "Ac", "Ac", "Ac", "Nd"], "frac_coords": [[0.0000, 0.0000, 0.0000], [0.0000, 0.0000, 0.3460], [0.0000, 0.0000, 0.6540], [0.5000, 0.5000, 0.1838], [0.5000, 0.5000, 0.8162], [0.5000, 0.5000, 0.5000]]}

two.
{"formula": "SrAc4Nd", "functional": "GGA-PBE", "state": "relaxed", "crystal_system": "cubic", "n_ef_per_ev_atom": 1.472, "magnetic_moment_mub_per_fu": 0.0, "density_g_cm3": 6.68, "lattice": [[0.0000, 5.2137, 5.2137], [5.2137, 0.0000, 5.2137], [5.2137, 5.2137, 0.0000]], "species": ["Sr", "Ac", "Ac", "Ac", "Ac", "Nd"], "frac_coords": [[0.0000, 0.0000, 0.0000], [0.1294, 0.6235, 0.6235], [0.6235, 0.1294, 0.6235], [0.6235, 0.6235, 0.1294], [0.6235, 0.6235, 0.6235], [0.2500, 0.2500, 0.2500]]}

Result of the stability comparison: two is the least stable of them.

one.
{"formula": "AcTb7Nd2", "functional": "GGA-PBE", "state": "relaxed", "crystal_system": "orthorhombic", "n_ef_per_ev_atom": 1.262, "magnetic_moment_mub_per_fu": 0.0, "density_g_cm3": 6.68, "lattice": [[4.3883, -8.1468, 0.0000], [4.3883, 8.1468, 0.0000], [0.0000, 0.0000, 5.6599]], "species": ["Ac", "Tb", "Tb", "Tb", "Tb", "Tb", "Tb", "Tb", "Nd", "Nd"], "frac_coords": [[0.0000, 0.0000, 0.0000], [0.0615, 0.2952, 0.5000], [0.2259, 0.7741, 0.0000], [0.2952, 0.0615, 0.5000], [0.5000, 0.5000, 0.5000], [0.7048, 0.9385, 0.5000], [0.7741, 0.2259, 0.0000], [0.9385, 0.7048, 0.5000], [0.2978, 0.7022, 0.5000], [0.7022, 0.2978, 0.5000]]}

two.
{"formula": "AcTb7Nd2", "functional": "GGA-PBE", "state": "relaxed", "crystal_system": "orthorhombic", "n_ef_per_ev_atom": 1.679, "magnetic_moment_mub_per_fu": 0.0, "density_g_cm3": 7.44, "lattice": [[5.9386, -8.5013, 0.0000], [5.9386, 8.5013, 0.0000], [0.0000, 0.0000, 3.5998]], "species": ["Ac", "Tb", "Tb", "Tb", "Tb", "Tb", "Tb", "Tb", "Nd", "Nd"], "frac_coords": [[0.0000, 0.0000, 0.0000], [0.1264, 0.3945, 0.5000], [0.3314, 0.6686, 0.0000], [0.3945, 0.1264, 0.5000], [0.5000, 0.5000, 0.5000], [0.6055, 0.8736, 0.5000], [0.6686, 0.3314, 0.0000], [0.8736, 0.6055, 0.5000], [0.1805, 0.8195, 0.5000], [0.8195, 0.1805, 0.5000]]}

Result of the stability comparison: one is the least stable of them.